Here is crystalline Y2Os at its relaxed geometry from OQMD. Energies are from PBE.

Symmetry = Fm-3m
Calculated formation energy = -0.162 eV per atom

Cell lengths 4.7857, 4.7857, 4.7857 Å; angles 60.00, 60.00, 60.00 degrees
Positions (direct):
Y (0.2500, 0.2500, 0.2500)
Y (0.7500, 0.7500, 0.7500)
Os (0.0000, 0.0000, 0.0000)